Compound: AlMoAu
Source: OQMD
Functional: PBE-GGA
Structure: optimized geometry

```
AlMoAu
1.0
0.000 3.020 3.020
3.020 0.000 3.020
3.020 3.020 0.000
Au Mo Al
1 1 1
Direct
0.250 0.250 0.250 Au
0.750 0.750 0.750 Mo
0.000 0.000 0.000 Al
```

## Properties
* polymorph energy (0 for the lowest one): 0.0000 eV per atom
* E: -16.68 eV/cell
* magnetic moment: 1.86 μB per formula unit



Compound: Rb2AlAgBr6
Source: OQMD
Functional: PBE-GGA
Structure: optimized geometry

```
Rb2AlAgBr6
1.0
-2.400 6.916 1.684
1.460 2.748 6.837
5.068 5.505 0.656
Br Rb Ag Al
6 2 1 1
Direct
0.714 0.816 0.230 Br
0.816 0.230 0.714 Br
0.183 0.770 0.286 Br
0.770 0.286 0.183 Br
0.230 0.714 0.816 Br
0.286 0.183 0.770 Br
0.250 0.250 0.250 Rb
0.750 0.750 0.750 Rb
0.500 0.500 0.500 Ag
0.000 0.000 0.000 Al
```

## Properties
* polymorph energy (0 for the lowest one): 0.0206 eV per atom
* E: -30.43 eV/cell



Compound: BiW4SN2
Source: OQMD
Functional: PBE-GGA
Structure: optimized geometry

```
BiW4SN2
1.0
2.981 0.000 0.000
-1.491 2.582 0.000
0.000 0.000 14.752
N Bi W S
2 1 4 1
Direct
0.333 0.667 0.279 N
0.333 0.667 0.721 N
0.000 0.000 0.000 Bi
0.000 0.000 0.625 W
0.667 0.333 0.189 W
0.667 0.333 0.811 W
0.000 0.000 0.375 W
0.667 0.333 0.500 S
```

## Properties
* E: -72.62 eV/cell
* magnetic moment: 0.00 μB per formula unit



Compound: HfMgBeNi
Source: OQMD
Functional: PBE-GGA
Structure: optimized geometry

```
HfMgBeNi
1.0
3.479 1.180 2.342
-0.141 -0.177 4.351
2.313 -3.012 2.133
Ni Mg Hf Be
1 1 1 1
Direct
0.250 0.250 0.250 Ni
0.000 0.000 0.000 Mg
0.500 0.500 0.500 Hf
0.750 0.750 0.750 Be
```

## Properties
* polymorph energy (0 for the lowest one): 0.0000 eV per atom
* E: -21.46 eV/cell
* magnetic moment: 0.00 μB per formula unit



Compound: YMgTlCu
Source: OQMD
Functional: PBE-GGA
Structure: optimized geometry

```
YMgTlCu
1.0
0.000 3.500 3.500
3.500 0.000 3.500
3.500 3.500 0.000
Mg Y Cu Tl
1 1 1 1
Direct
0.500 0.500 0.500 Mg
0.250 0.250 0.250 Y
0.750 0.750 0.750 Cu
0.000 0.000 0.000 Tl
```

## Properties
* polymorph energy (0 for the lowest one): 0.0495 eV per atom
* E: -14.20 eV/cell
* magnetic moment: 0.00 μB per formula unit



Compound: ScFeBIr
Source: OQMD
Functional: PBE-GGA
Structure: optimized geometry

```
ScFeBIr
1.0
0.000 2.921 2.921
2.921 0.000 2.921
2.921 2.921 0.000
Fe Sc Ir B
1 1 1 1
Direct
0.750 0.750 0.750 Fe
0.500 0.500 0.500 Sc
0.250 0.250 0.250 Ir
0.000 0.000 0.000 B
```

## Properties
* polymorph energy (0 for the lowest one): 0.0000 eV per atom
* E: -29.87 eV/cell
* magnetic moment: 0.86 μB per formula unit



Compound: Er2H2I3Br
Source: OQMD
Functional: PBE-GGA
Structure: optimized geometry

```
Er2H2I3Br
1.0
3.924 0.000 0.000
-1.962 3.398 0.000
0.000 0.000 15.754
I H Er Br
3 2 2 1
Direct
0.667 0.333 0.884 I
0.667 0.333 0.616 I
0.000 0.000 0.379 I
0.667 0.333 0.248 H
0.000 0.000 0.750 H
0.333 0.667 0.750 Er
0.333 0.667 0.245 Er
0.000 0.000 0.127 Br
```

## Properties
* E: -32.10 eV/cell
* magnetic moment: 0.00 μB per formula unit



Compound: DyTm6Hg
Source: OQMD
Functional: PBE-GGA
Structure: optimized geometry

```
DyTm6Hg
1.0
6.968 0.000 0.000
-3.484 6.034 0.000
0.000 0.000 5.493
Tm Hg Dy
6 1 1
Direct
0.326 0.163 0.500 Tm
0.837 0.163 0.500 Tm
0.499 0.997 0.000 Tm
0.837 0.674 0.500 Tm
0.499 0.501 0.000 Tm
0.003 0.501 0.000 Tm
0.333 0.667 0.500 Hg
0.000 0.000 0.000 Dy
```

## Properties
* E: -31.98 eV/cell
* calculated formation energy: -0.029 eV/atom
* magnetic moment: 0.76 μB per formula unit



> Which value of E does entry 5 give?

-14.20 eV/cell